Here is a geometry-optimized BC structure from Alexandria. Energies are from GGA-PBE.

The structure in POSCAR format:
```
BC
1.0
4.272 -1.338 0.000
4.272 1.338 0.000
-2.593 0.000 6.006
B C
5 5
Direct
0.000 0.000 0.000
0.012 0.012 0.395
0.185 0.185 0.866
0.247 0.247 0.163
0.400 0.400 0.687
0.399 0.399 0.957
0.595 0.595 0.722
0.614 0.614 0.497
0.795 0.795 0.529
0.814 0.814 0.305
```

Calculated values
- final energy (eV per atom) = -7.61
- ρ (Mg/m³) = 2.76
- energy relative to the elements (meV per atom) = 339
- DOS(E_F) (states/eV per atom) = 0.1975
- V (Å³/cell) = 68.67



Here is a geometry-optimized B7C5 structure from Alexandria. Energies are from GGA-PBE.

The structure in POSCAR format:
```
B7C5
1.0
6.253 -1.349 0.000
6.253 1.349 0.000
-1.583 0.000 5.209
B C
7 5
Direct
0.000 0.000 0.000
0.004 0.004 0.379
0.194 0.194 0.774
0.320 0.320 0.211
0.641 0.641 0.281
0.841 0.841 0.769
0.886 0.886 0.117
0.228 0.228 0.346
0.292 0.292 0.636
0.559 0.559 0.970
0.560 0.560 0.491
0.630 0.630 0.789
```

Calculated values
- final energy (eV per atom) = -7.39
- ρ (Mg/m³) = 2.57
- energy relative to the elements (meV per atom) = 344
- DOS(E_F) (states/eV per atom) = 0.0877
- V (Å³/cell) = 87.85



Here is a geometry-optimized BC structure from Alexandria. Energies are from GGA-PBE.

The structure in POSCAR format:
```
BC
1.0
4.386 -1.324 0.000
4.386 1.324 0.000
-3.434 0.000 7.060
B C
6 6
Direct
0.000 0.000 0.000
0.015 0.015 0.464
0.172 0.172 0.722
0.310 0.310 0.599
0.502 0.502 0.828
0.642 0.642 0.263
0.178 0.178 0.182
0.336 0.336 0.147
0.500 0.500 0.334
0.683 0.683 0.835
0.832 0.832 0.029
0.883 0.883 0.564
```

Calculated values
- final energy (eV per atom) = -7.57
- ρ (Mg/m³) = 2.77
- energy relative to the elements (meV per atom) = 380
- DOS(E_F) (states/eV per atom) = 0.2278
- V (Å³/cell) = 81.99



Here is a geometry-optimized B7C5 structure from Alexandria. Energies are from GGA-PBE.

The structure in POSCAR format:
```
B7C5
1.0
7.029 -1.329 0.000
7.029 1.329 0.000
-1.311 0.000 4.474
B C
7 5
Direct
0.000 0.000 0.000
0.067 0.067 0.666
0.228 0.228 0.505
0.502 0.502 0.416
0.662 0.662 0.257
0.735 0.735 0.924
0.867 0.867 0.766
0.181 0.181 0.795
0.346 0.346 0.578
0.383 0.383 0.300
0.548 0.548 0.128
0.854 0.854 0.110
```

Calculated values
- final energy (eV per atom) = -7.36
- ρ (Mg/m³) = 2.70
- energy relative to the elements (meV per atom) = 375
- DOS(E_F) (states/eV per atom) = 0.0799
- V (Å³/cell) = 83.60



Here is a geometry-optimized B7C5 structure from Alexandria. Energies are from GGA-PBE.

The structure in POSCAR format:
```
B7C5
1.0
4.485 0.000 0.000
2.198 3.928 0.000
0.706 1.192 4.514
B C
7 5
Direct
0.000 0.000 0.000
0.026 0.947 0.404
0.096 0.362 0.846
0.290 0.527 0.011
0.360 0.284 0.399
0.585 0.186 0.828
0.764 0.722 0.025
0.007 0.584 0.503
0.379 0.907 0.490
0.391 0.848 0.827
0.696 0.270 0.481
0.699 0.619 0.381
```

Calculated values
- final energy (eV per atom) = -7.28
- ρ (Mg/m³) = 2.83
- energy relative to the elements (meV per atom) = 457
- DOS(E_F) (states/eV per atom) = 0.2145
- V (Å³/cell) = 79.53



Here is a geometry-optimized B7C5 structure from Alexandria. Energies are from GGA-PBE.

The structure in POSCAR format:
```
B7C5
1.0
4.402 -1.224 0.000
4.402 1.224 0.000
-4.022 0.000 7.463
B C
7 5
Direct
0.000 0.000 0.000
0.086 0.086 0.805
0.221 0.221 0.020
0.328 0.328 0.860
0.502 0.502 0.508
0.861 0.861 0.368
0.866 0.866 0.156
0.067 0.067 0.226
0.292 0.292 0.643
0.481 0.481 0.686
0.665 0.665 0.326
0.694 0.694 0.536
```

Calculated values
- final energy (eV per atom) = -7.32
- ρ (Mg/m³) = 2.80
- energy relative to the elements (meV per atom) = 415
- DOS(E_F) (states/eV per atom) = 0.1366
- V (Å³/cell) = 80.42



Here is a geometry-optimized B7C5 structure from Alexandria. Energies are from GGA-PBE.

The structure in POSCAR format:
```
B7C5
1.0
6.226 -1.321 0.000
6.226 1.321 0.000
-1.173 0.000 5.402
B C
7 5
Direct
0.000 0.000 0.000
0.009 0.009 0.496
0.257 0.257 0.965
0.378 0.378 0.623
0.595 0.595 0.969
0.617 0.617 0.587
0.721 0.721 0.419
0.279 0.279 0.382
0.361 0.361 0.191
0.698 0.698 0.868
0.933 0.933 0.216
0.934 0.934 0.714
```

Calculated values
- final energy (eV per atom) = -7.37
- ρ (Mg/m³) = 2.54
- energy relative to the elements (meV per atom) = 368
- DOS(E_F) (states/eV per atom) = 0.1543
- V (Å³/cell) = 88.85



Here is a geometry-optimized BC structure from Alexandria. Energies are from GGA-PBE.

The structure in POSCAR format:
```
BC
1.0
6.324 -1.297 0.000
6.324 1.297 0.000
-1.205 0.000 5.011
B C
6 6
Direct
0.000 0.000 0.000
0.025 0.025 0.439
0.264 0.264 0.353
0.604 0.604 0.031
0.687 0.687 0.802
0.907 0.907 0.680
0.275 0.275 0.862
0.343 0.343 0.149
0.343 0.343 0.659
0.601 0.601 0.509
0.682 0.682 0.327
0.914 0.914 0.198
```

Calculated values
- final energy (eV per atom) = -7.51
- ρ (Mg/m³) = 2.77
- energy relative to the elements (meV per atom) = 441
- DOS(E_F) (states/eV per atom) = 0.2704
- V (Å³/cell) = 82.21



Which formula does entry 2 have?
B7C5



The highest energy relative to the elements belongs to which entry?
number 5



Which value of DOS(E_F) does entry 3 give?
0.2278 states/eV per atom